DFT (GGA-PBE) results for crystalline BaSrHf at its relaxed geometry.

For the formation energy, the calculation gives 0.32 eV/atom. For the energy, the calculation gives -4.1948 eV per atom. The value obtained for the density of states at the Fermi level is 8.80 states/eV per cell. The total magnetization comes out at 0.67 μB per formula unit. The value obtained for the energy above the most stable polymorph in this dataset is 0.7 meV/atom.

a b c (Å): 3.9743 3.9743 16.1362
angles (deg): 90.00 90.00 90.00
Last column: nearest neighbours and their distance in Å.
Space group P4mm (No. 99)
Inequivalent atoms, fractional coordinates:
Ba  0.0000  0.0000  0.0000  5 Hf 3.58-3.72, 4 Ba 3.97
Ba  0.0000  0.0000  0.4196  4 Ba 3.97, 8 Sr 4.36-4.44
Sr  0.5000  0.5000  0.2127  4 Sr 3.97, 8 Ba 4.36-4.44
Sr  0.5000  0.5000  0.6327  5 Hf 3.48-3.66
Hf  0.0000  0.0000  0.7781  4 Hf 3.03
Hf  0.5000  0.5000  0.8486  4 Hf 3.03